No. 1
NaCu3Pt PBE optimized geometry; SG = No. 221; volume = 109 Å³/cell; excess energy over the best structure of this formula in the dataset = 0.0 meV/atom; formation enthalpy at 0 K = 43.8 kJ/mol of atoms
1.0
4.7819 0.0000 0.0000
0.0000 4.7819 0.0000
0.0000 0.0000 4.7819
Cu Pt Na
3 1 1
direct
0.0000 0.0000 0.5000 Cu
0.0000 0.5000 0.0000 Cu
0.5000 0.0000 0.0000 Cu
0.0000 0.0000 0.0000 Pt
0.5000 0.5000 0.5000 Na

***

No. 2
CrP2W PBE optimized geometry; SG = No. 123; volume = 51 Å³/cell; excess energy over the best structure of this formula in the dataset = 313.3 meV/atom; formation enthalpy at 0 K = -13.1 kJ/mol of atoms
1.0
-2.8828 -0.5196 -0.2584
0.5727 -2.7588 -0.8418
-0.1863 -1.7413 5.5799
P W Cr
2 1 1
direct
0.0000 0.0000 0.9860 P
0.0000 0.0000 0.5140 P
0.5000 0.5000 0.2500 W
0.5000 0.5000 0.7500 Cr

***

No. 3
Ba2FePdN PBE optimized geometry; raw formation energy = -0.302 eV/atom; SG = No. 123; volume = 122 Å³/cell
1.0
-3.3563 3.9121 -2.6705
-4.2932 -1.1298 3.7407
1.2455 2.5753 2.2073
Ba Pd Fe N
2 1 1 1
direct
0.5000 0.0000 0.0000 Ba
0.0000 0.5000 0.0000 Ba
0.5000 0.5000 0.5000 Pd
0.0000 0.0000 0.5000 Fe
0.0000 0.0000 0.0000 N

***

It is found that the DOS at the Fermi energy values, taken in the order of the records, are 2.5 2.6 4.7 states/eV per cell.